(1)
VASP calculation (PBE) on a relaxed structure of Tb6Dy3HoEr2.

Values from the calculation:
Space-group type: C2/m (12)
Energy of formation, meV/atom: 16
Size of the total moment, μB per atom: 0.00
Uncorrected energy, eV for the cell shown: -55.10

Cell lengths 6.1235, 6.1235, 11.7099 Å; angles 94.98, 94.98, 119.95 degrees
Element x y z (fractional)
1 Tb 0.0832 0.4166 0.7508
2 Tb 0.2499 0.2499 0.2492
3 Tb 0.4166 0.0832 0.7508
4 Tb 0.5834 0.9168 0.2492
5 Tb 0.7501 0.7501 0.7508
6 Tb 0.9168 0.5834 0.2492
7 Dy 0.0000 0.0000 0.5000
8 Dy 0.3333 0.6667 0.5000
9 Dy 0.6667 0.3333 0.5000
10 Ho 0.5000 0.5000 0.0000
11 Er 0.1666 0.8334 0.0000
12 Er 0.8334 0.1666 0.0000


(2)
VASP calculation (PBE) on a relaxed structure of Tb3DyHo6Er2.

Values from the calculation:
Space-group type: C2/m (12)
Energy of formation, meV/atom: 18
Size of the total moment, μB per atom: 0.00
Uncorrected energy, eV for the cell shown: -54.87

Cell lengths 6.0997, 6.0997, 11.6746 Å; angles 94.97, 94.97, 119.94 degrees
Element x y z (fractional)
1 Tb 0.0000 0.0000 0.0000
2 Tb 0.3332 0.6668 0.0000
3 Tb 0.6668 0.3332 0.0000
4 Dy 0.5000 0.5000 0.5000
5 Ho 0.0833 0.4169 0.2512
6 Ho 0.2495 0.2495 0.7488
7 Ho 0.4169 0.0833 0.2512
8 Ho 0.5831 0.9167 0.7488
9 Ho 0.7505 0.7505 0.2512
10 Ho 0.9167 0.5831 0.7488
11 Er 0.1666 0.8334 0.5000
12 Er 0.8334 0.1666 0.5000


(3)
VASP calculation (PBE) on a relaxed structure of Tb2DyHo2Er.

Values from the calculation:
Space-group type: Pnnm (58)
Energy of formation, meV/atom: 278
Size of the total moment, μB per atom: 0.00
Uncorrected energy, eV for the cell shown: -51.83

Cell lengths 6.5099, 17.6044, 3.3511 Å; angles 90.00, 90.00, 90.00 degrees
Element x y z (fractional)
1 Tb 0.2321 0.1837 0.0000
2 Tb 0.2679 0.6837 0.5000
3 Tb 0.7321 0.3163 0.5000
4 Tb 0.7679 0.8163 0.0000
5 Dy 0.0000 0.5000 0.0000
6 Dy 0.5000 0.0000 0.5000
7 Ho 0.2299 0.3527 0.5000
8 Ho 0.2701 0.8527 0.0000
9 Ho 0.7299 0.1473 0.0000
10 Ho 0.7701 0.6473 0.5000
11 Er 0.0000 0.0000 0.0000
12 Er 0.5000 0.5000 0.5000


(4)
VASP calculation (PBE) on a relaxed structure of TbDy2HoEr.

Values from the calculation:
Space-group type: Cmcm (63)
Energy of formation, meV/atom: 413
Size of the total moment, μB per atom: 0.00
Uncorrected energy, eV for the cell shown: -41.82

Cell lengths 7.0281, 7.0281, 7.1649 Å; angles 90.00, 90.00, 107.48 degrees
Element x y z (fractional)
1 Tb 0.2253 0.7747 0.7500
2 Tb 0.7747 0.2253 0.2500
3 Dy 0.1909 0.1909 0.0000
4 Dy 0.1909 0.1909 0.5000
5 Dy 0.8091 0.8091 0.0000
6 Dy 0.8091 0.8091 0.5000
7 Ho 0.4994 0.5006 0.7500
8 Ho 0.5006 0.4994 0.2500
9 Er 0.2237 0.7763 0.2500
10 Er 0.7763 0.2237 0.7500


Q: Which value of energy of formation does entry 3 give?
A: 278 meV/atom